CaEr2MoO6: relaxed, GGA+U.

a = 5.646 Å, b = 5.652 Å, c = 5.944 Å
α = 117.71°, β = 90.28°, γ = 119.54°
Fractional coordinates of all 10 atoms:
Ca (0.000, 0.000, 0.000)
Er (0.211, 0.432, 0.646)
Er (0.723, 0.444, 0.167)
Mo (0.517, 0.029, 0.544)
O (0.130, 0.540, 0.339)
O (0.328, 0.216, 0.816)
O (0.414, 0.200, 0.346)
O (0.592, 0.929, 0.822)
O (0.781, 0.922, 0.347)
O (0.894, 0.494, 0.828)

Symmetry: P1 (1)
E (eV per atom): -7.7145
Magnetic moment (μB per formula unit): 2.00